[1]
A plane-wave DFT calculation with PBE-GGA was carried out for a relaxed structure of SbPb5Au4.

a = 4.6406 Å, b = 7.4451 Å, c = 10.1100 Å
α = 125.22°, β = 103.27°, γ = 90.00°
Element x y z (fractional)
Pb 0.8344 0.2152 0.6688
Pb 0.5000 0.5000 0.0000
Pb 0.8161 0.6983 0.6321
Pb 0.1839 0.3017 0.3679
Pb 0.1656 0.7848 0.3312
Au 0.6499 0.0112 0.2998
Au 0.3501 0.9888 0.7002
Au 0.9688 0.7222 0.9375
Au 0.0312 0.2778 0.0625
Sb 0.5000 0.0000 0.0000

Output
As for the space-group type: C2/m (12). For the total energy, the calculation gives -0.1329 Ha/atom.



[2]
A plane-wave DFT calculation with PBE-GGA was carried out for a relaxed structure of Sb2PbAu8.

a = 3.6461 Å, b = 10.3082 Å, c = 7.4222 Å
α = 116.81°, β = 104.46°, γ = 89.77°
Element x y z (fractional)
Au 0.2409 0.0999 0.4802
Au 0.9215 0.1949 0.8416
Au 0.5545 0.4184 0.1129
Au 0.0785 0.8051 0.1584
Au 0.4455 0.5816 0.8871
Au 0.1365 0.2766 0.2727
Au 0.7591 0.9001 0.5198
Au 0.8635 0.7234 0.7273
Sb 0.8168 0.3619 0.6218
Sb 0.1832 0.6381 0.3782
Pb 0.5000 0.0000 0.0000

Output
As for the space-group type: P-1 (2). For the total energy, the calculation gives -0.1271 Ha/atom.



[3]
A plane-wave DFT calculation with PBE-GGA was carried out for a relaxed structure of SbPbAu6.

a = 5.5028 Å, b = 5.5028 Å, c = 5.5028 Å
α = 90.00°, β = 90.00°, γ = 90.00°
Element x y z (fractional)
Au 0.0000 0.5000 0.7514
Au 0.2486 0.0000 0.5000
Au 0.5000 0.2486 0.0000
Au 0.5000 0.7514 0.0000
Au 0.7514 0.0000 0.5000
Au 0.0000 0.5000 0.2486
Sb 0.0000 0.0000 0.0000
Pb 0.5000 0.5000 0.5000

Output
As for the space-group type: Pm-3 (200). For the total energy, the calculation gives -0.1231 Ha/atom.



[4]
A plane-wave DFT calculation with PBE-GGA was carried out for a relaxed structure of Sb2Pb2Au3.

a = 6.4587 Å, b = 6.4587 Å, c = 6.4587 Å
α = 58.56°, β = 58.56°, γ = 58.56°
Element x y z (fractional)
Au 0.0000 0.0000 0.5000
Au 0.5000 0.0000 0.0000
Au 0.0000 0.5000 0.0000
Pb 0.5000 0.5000 0.5000
Pb 0.0000 0.0000 0.0000
Sb 0.2932 0.2932 0.2932
Sb 0.7068 0.7068 0.7068

Output
As for the space-group type: R-3m (166). The offset from the most stable computed form is 0.03 eV per formula unit.



[5]
A plane-wave DFT calculation with PBE-GGA was carried out for a relaxed structure of Sb2PbAu2.

a = 8.5278 Å, b = 8.5278 Å, c = 3.4176 Å
α = 90.00°, β = 90.00°, γ = 90.00°
Element x y z (fractional)
Au 0.6535 0.8465 0.5000
Au 0.1535 0.6535 0.5000
Au 0.3465 0.1535 0.5000
Au 0.8465 0.3465 0.5000
Pb 0.0000 0.0000 0.0000
Pb 0.5000 0.5000 0.0000
Sb 0.8511 0.6489 0.0000
Sb 0.3511 0.8511 0.0000
Sb 0.1489 0.3511 0.0000
Sb 0.6489 0.1489 0.0000

Output
As for the space-group type: P4/mbm (127). The offset from the most stable computed form is 0.38 eV per formula unit.



[6]
A plane-wave DFT calculation with PBE-GGA was carried out for a relaxed structure of SbPb2Au2.

a = 8.7222 Å, b = 8.7222 Å, c = 3.4696 Å
α = 90.00°, β = 90.00°, γ = 90.00°
Element x y z (fractional)
Pb 0.1869 0.3131 0.0000
Pb 0.8131 0.6869 0.0000
Pb 0.3131 0.8131 0.0000
Pb 0.6869 0.1869 0.0000
Au 0.3863 0.1137 0.5000
Au 0.8863 0.3863 0.5000
Au 0.6137 0.8863 0.5000
Au 0.1137 0.6137 0.5000
Sb 0.5000 0.5000 0.0000
Sb 0.0000 0.0000 0.0000

Output
As for the space-group type: P4/mbm (127). The offset from the most stable computed form is 0.88 eV per formula unit.



[7]
A plane-wave DFT calculation with PBE-GGA was carried out for a relaxed structure of SbPbAu3.

a = 5.9560 Å, b = 6.2719 Å, c = 6.8930 Å
α = 90.00°, β = 90.00°, γ = 113.05°
Element x y z (fractional)
Au 0.7441 0.4175 0.5418
Au 0.2559 0.5825 0.0418
Au 0.0884 0.8207 0.7500
Au 0.7441 0.4175 0.9582
Au 0.9116 0.1793 0.2500
Au 0.2559 0.5825 0.4582
Pb 0.3510 0.0537 0.2500
Pb 0.6490 0.9463 0.7500
Sb 0.7029 0.7089 0.2500
Sb 0.2971 0.2911 0.7500

Output
As for the space-group type: P2_1/m (11). The offset from the most stable computed form is 0.00 eV per formula unit.



[8]
A plane-wave DFT calculation with PBE-GGA was carried out for a relaxed structure of Sb2Pb8Au.

a = 5.9014 Å, b = 8.1946 Å, c = 8.1946 Å
α = 78.19°, β = 75.52°, γ = 75.52°
Element x y z (fractional)
Au 0.0000 0.0000 0.0000
Pb 0.7874 0.6894 0.1401
Pb 0.0922 0.7288 0.7288
Pb 0.9078 0.2712 0.2712
Pb 0.3116 0.4245 0.4245
Pb 0.2126 0.8599 0.3106
Pb 0.2126 0.3106 0.8599
Pb 0.6884 0.5755 0.5755
Pb 0.7874 0.1401 0.6894
Sb 0.5276 0.1440 0.1440
Sb 0.4724 0.8560 0.8560

Output
As for the space-group type: C2/m (12). The offset from the most stable computed form is 0.67 eV per formula unit.